Computed, not measured: a relaxed K5MoCl2O4 crystal at the GGA+U level of DFT.

Cell: 8.3872 6.1598 6.1598 Å, 114.31 90.00 90.00°
Closest atoms and distances in Å follow each position.
Fractional positions:
K1 0.0000 0.0000 0.0000  2 O 2.79, 2 Cl 3.05
K2 0.2913 0.2130 0.5773  3 O 2.72-2.91, 1 Cl 3.03
K3 0.2913 0.5773 0.2130  3 O 2.72-2.91, 1 Cl 3.03
K4 0.7087 0.2130 0.5773  3 O 2.72-2.91, 1 Cl 3.03
K5 0.7087 0.5773 0.2130  3 O 2.72-2.91, 1 Cl 3.03
Mo1 0.5000 0.9121 0.9121  4 O 1.88-1.89
Cl1 0.0000 0.4647 0.8600  6 K 3.03-3.31
Cl2 0.0000 0.8600 0.4647  6 K 3.03-3.31
O1 0.3250 0.0884 0.0884  1 Mo 1.88
O2 0.5000 0.5942 0.8819  1 Mo 1.89
O3 0.5000 0.8819 0.5942  1 Mo 1.89
O4 0.6750 0.0884 0.0884  1 Mo 1.88

Computed properties:
Its total DFT energy (no corrections) is -57.02 eV per formula unit. The calculation puts the magnetic moment at 1.0 μB per formula unit. As for the symmetry: Amm2.